# 1
VASP calculation (PBE) on an optimized crystal structure of Pm2Nd3In2.

Lattice parameters (Å, degrees): 3.573 8.158 8.822 117.66 101.69 90.00
Element x y z (fractional)
Nd 0.211 0.791 0.421
Nd 0.789 0.209 0.579
Nd 0.000 0.500 0.000
Pm 0.126 0.279 0.253
Pm 0.874 0.721 0.747
In 0.431 0.106 0.863
In 0.569 0.894 0.137

Summary:
The calculation puts the uncorrected energy at -4.3263 eV per atom. The calculation puts the energy relative to the elements at -1.00 eV per formula unit. Its polymorph energy (0 for the lowest one) is 32.2 meV per atom.

# 2
VASP calculation (PBE) on an optimized crystal structure of Sr2PCl.

Lattice parameters (Å, degrees): 3.830 3.940 7.910 90.26 90.00 90.00
Element x y z (fractional)
Cl 0.500 0.250 0.250
P 0.500 0.750 0.750
Sr 0.000 0.249 0.549
Sr 0.000 0.251 0.951

Summary:
The calculation puts the uncorrected energy at -4.1285 eV per atom. The value obtained for the uncorrected formation energy is -1.4734 eV per atom.

# 3
VASP calculation (PBE) on an optimized crystal structure of CsSc2Se.

Lattice parameters (Å, degrees): 12.065 12.065 12.065 18.00 18.00 18.00
Element x y z (fractional)
Se 0.000 0.000 0.000
Sc 0.932 0.932 0.932
Sc 0.068 0.068 0.068
Cs 0.500 0.500 0.500

Summary:
The calculation puts the uncorrected energy at -4.0444 eV per atom. The value obtained for the uncorrected formation energy is 0.2058 eV per atom.